Below is a geometry-optimized Li2MnFeB2O6 structure, with properties calculated at the GGA+U level.

```
Li2MnFeB2O6
1.0
5.1703 0.0165 0.0010
0.2612 6.1190 -0.0345
0.1950 1.4965 7.8607
Li Mn Fe B O
4 2 2 4 12
direct
0.9118 0.5258 0.1487
0.0821 0.4652 0.8494
0.4190 0.0328 0.6524
0.5849 0.9758 0.3510
0.0969 0.7440 0.5006
0.9088 0.2566 0.4978
0.4059 0.7633 0.0041
0.5897 0.2488 0.9933
0.0990 0.0956 0.1720
0.9043 0.9061 0.8338
0.3992 0.4124 0.3263
0.5993 0.5833 0.6678
0.9834 0.2472 0.0449
0.0156 0.7433 0.9564
0.9617 0.0187 0.3232
0.0421 0.9941 0.6876
0.3580 0.0231 0.1553
0.6429 0.9743 0.8524
0.5378 0.4950 0.1780
0.4548 0.4947 0.8116
0.5074 0.2528 0.4524
0.4966 0.7527 0.5469
0.1414 0.4878 0.3425
0.8575 0.5066 0.6515
```

Computed properties:
**Magnetization**: 3.0 μB/f.u.
**Space group**: No. 1
**Offset from the most stable computed form**: 0.98 eV per formula unit
**DFT total energy**: -7.03 eV/atom